The following is a DFT calculation (PBE with a Hubbard U) of an optimized crystal structure of Ce2Mo4O15.

```
42
Lattice="-1.256 -2.616 6.945 -5.766 -3.755 -3.310 7.535 -8.466 -3.192" Properties=species:S:1:pos:R:3 pbc="T T T"
Mo 2.466 -5.490 -1.980
Mo -3.324 -5.294 3.052
Mo -4.696 -5.232 -1.536
Mo 3.837 -9.543 -2.609
Mo 0.881 -6.829 1.558
Mo -1.952 -9.348 2.423
Mo -0.367 -8.008 -1.115
Mo 5.210 -9.606 1.979
O 1.471 -7.954 3.173
O -1.221 -7.753 2.245
O -0.674 -10.518 1.880
O -3.562 -9.356 1.589
O -0.958 -6.883 -2.729
O -2.916 -4.938 -1.410
O 4.735 -8.064 -2.154
O 2.392 -6.267 0.995
O -2.414 -4.649 1.662
O 2.007 -12.127 -4.580
O -0.060 -12.543 0.230
O -1.879 -8.571 -0.552
O 0.264 -5.364 2.719
O -2.192 -5.550 4.478
O 3.430 -9.899 1.853
O 4.075 -5.482 -1.145
O 0.250 -9.473 -2.275
O -0.302 -6.239 0.018
O 2.983 -12.559 0.342
O 2.928 -10.188 -1.219
O -5.182 -6.289 -0.200
O 0.816 -8.599 0.425
O 1.187 -4.320 -1.437
O -1.494 -2.710 5.023
O -4.221 -6.774 2.597
O -2.469 -2.278 0.101
O 5.695 -8.549 0.643
O 1.734 -7.084 -1.801
O 2.705 -9.287 -4.035
O 0.573 -2.295 0.213
Ce 1.565 -10.701 0.754
Ce 0.372 -10.370 -4.149
Ce -1.051 -4.136 -0.310
Ce 0.141 -4.468 4.593
```

Properties
As for the space group: P-1 (2). For the spin magnetization, the calculation gives 0.0965 μB/atom. The calculation puts the uncorrected energy at -317.18 eV per cell.